DFT (PBE-GGA) results for a relaxed structure of Pm2PrSeO8.

a = 4.308 Å, b = 5.358 Å, c = 7.134 Å
α = 90.06°, β = 90.04°, γ = 94.22°
Atoms (fractional coordinates):
Pm  0.001  0.001  0.256
Pm  0.999  0.999  0.744
Pr  0.500  0.500  0.000
Se  0.500  0.500  0.500
O  0.025  0.248  0.000
O  0.117  0.338  0.501
O  0.426  0.728  0.310
O  0.427  0.729  0.691
O  0.573  0.271  0.309
O  0.574  0.272  0.690
O  0.883  0.662  0.499
O  0.975  0.752  0.000

Properties
Its space group is No. 2. For the total energy, the calculation gives -83.53 eV for the cell shown. For the uncorrected formation energy, the calculation gives -2175 meV/atom.